The following is a DFT calculation (PBE) of a geometry-optimized MgSi2Pd5 structure.

Structure (CIF):
```
data_MgSi2Pd5
_chemical_formula_sum 'Mg2 Si4 Pd10'
_cell_length_a 3.539
_cell_length_b 6.639
_cell_length_c 10.939
_cell_angle_alpha 90.00
_cell_angle_beta 90.00
_cell_angle_gamma 90.00
_symmetry_space_group_name_H-M 'I m m m'
_symmetry_Int_Tables_number 71
_symmetry_space_group_name_Hall '-I 2 2'
loop_
_atom_site_label
_atom_site_type_symbol
_atom_site_fract_x
_atom_site_fract_y
_atom_site_fract_z
Mg1 Mg 0.000 0.000 0.000
Si1 Si 0.000 0.500 0.218
Pd1 Pd 0.000 0.235 0.359
Pd2 Pd 0.000 0.500 0.000
```

Results
- Total energy: -5.406 eV/atom
- ΔE_f (raw): -0.606 eV per atom